Density functional theory data (meta-GGA SCAN) for La4MgIr at its PBEsol-relaxed geometry.

Results
- E: -245.2 eV/cell
- E_form: 556 meV/atom
- SG: F-43m, No. 216
- E above lowest polymorph: 1.034 eV per atom

Cell lengths 6.1676, 6.1676, 6.1676 Å; angles 60.00, 60.00, 60.00 degrees
Fractional positions:
Ir: 0.0000 0.0000 0.0000
La: 0.3730 0.8810 0.3730
Mg: 0.7500 0.7500 0.7500
La: 0.8810 0.3730 0.3730
La: 0.3730 0.3730 0.3730
La: 0.3730 0.3730 0.8810


Density functional theory data (meta-GGA SCAN) for RbHfNb2Ga at its PBEsol-relaxed geometry.

Results
- E: -159.5 eV/cell
- E_form: 1311 meV/atom
- SG: P4/mmm, No. 123

Cell lengths 5.0057, 5.0057, 5.4408 Å; angles 90.00, 90.00, 90.00 degrees
Fractional positions:
Ga: 0.0000 0.0000 0.5000
Nb: 0.5000 0.0000 0.0000
Rb: 0.5000 0.5000 0.5000
Nb: 0.0000 0.5000 0.0000
Hf: 0.0000 0.0000 0.0000


Density functional theory data (meta-GGA SCAN) for ScSbRu at its PBEsol-relaxed geometry.

Results
- E: -87.6 eV/cell
- SG: Imm2, No. 44
- E_form (uncorrected): -415 meV/atom

Cell lengths 3.2019, 3.8746, 5.0010 Å; angles 112.79, 108.67, 90.00 degrees
Fractional positions:
Sb: 0.6596 0.6596 0.3192
Sc: 0.3373 0.3373 0.6745
Ru: 0.0031 0.0031 0.0063


Density functional theory data (meta-GGA SCAN) for MgMo2C at its PBEsol-relaxed geometry.

Results
- E: -78.4 eV/cell
- E_form: 1601 meV/atom
- SG: Fm-3m, No. 225

Cell lengths 4.1646, 4.1646, 4.1646 Å; angles 60.00, 60.00, 60.00 degrees
Fractional positions:
Mo: 0.2500 0.2500 0.2500
Mg: 0.5000 0.5000 0.5000
C: 0.0000 0.0000 0.0000
Mo: 0.7500 0.7500 0.7500


Density functional theory data (meta-GGA SCAN) for RbIn2Bi2 at its PBEsol-relaxed geometry.

Results
- E: -490.7 eV/cell
- E_form: -135 meV/atom
- SG: P4/mbm, No. 127
- E above lowest polymorph: 0.144 eV per atom

Cell lengths 3.6511, 9.2923, 9.2923 Å; angles 90.00, 90.00, 90.00 degrees
Fractional positions:
Bi: 0.5000 0.6655 0.8345
In: 0.0000 0.8727 0.6273
Bi: 0.5000 0.1655 0.6655
Bi: 0.5000 0.8345 0.3345
In: 0.0000 0.1273 0.3727
In: 0.0000 0.3727 0.8727
In: 0.0000 0.6273 0.1273
Rb: 0.0000 0.5000 0.5000
Rb: 0.0000 0.0000 0.0000
Bi: 0.5000 0.3345 0.1655


Density functional theory data (meta-GGA SCAN) for RbAl3P6O20 at its PBEsol-relaxed geometry.

Results
- E: -627.2 eV/cell
- SG: C222_1, No. 20
- E_form (uncorrected): -2753 meV/atom

Cell lengths 8.1716, 8.1716, 11.9812 Å; angles 90.00, 90.00, 105.05 degrees
Fractional positions:
P: 0.2585 0.8466 0.9887
O: 0.8253 0.7924 0.6837
P: 0.9063 0.6335 0.6824
O: 0.9436 0.3285 0.2584
Al: 0.8672 0.8672 0.0000
P: 0.1689 0.3046 0.7233
O: 0.4755 0.2697 0.2375
O: 0.0564 0.6715 0.7584
O: 0.1747 0.2076 0.1837
P: 0.8466 0.2585 0.0113
P: 0.3046 0.1689 0.2767
O: 0.2076 0.1747 0.8163
Al: 0.1328 0.1328 0.5000
O: 0.7607 0.7444 0.1118
Al: 0.7528 0.2472 0.7500
P: 0.6335 0.9063 0.3176
O: 0.7674 0.4749 0.7024
O: 0.7924 0.8253 0.3163
O: 0.7267 0.0194 0.7860
O: 0.8261 0.3199 0.8955
O: 0.2784 0.6987 0.5925
Rb: 0.4797 0.4797 0.0000
O: 0.5245 0.7303 0.7375
Al: 0.2928 0.7072 0.7500
O: 0.2393 0.2556 0.6118
P: 0.8311 0.6954 0.2233
O: 0.3013 0.7216 0.9075
O: 0.7216 0.3013 0.0925
O: 0.3285 0.9436 0.7416
O: 0.7444 0.7607 0.8882
O: 0.6715 0.0564 0.2416
P: 0.3665 0.0937 0.8176
Al: 0.2472 0.7528 0.2500
O: 0.0194 0.7267 0.2140
O: 0.2733 0.9806 0.2860
O: 0.9806 0.2733 0.7140
Rb: 0.5203 0.5203 0.5000
O: 0.6348 0.9645 0.4455
O: 0.7303 0.5245 0.2625
O: 0.2556 0.2393 0.3882
O: 0.1739 0.6801 0.3955
O: 0.2326 0.5251 0.2024
O: 0.4749 0.7674 0.2976
O: 0.2697 0.4755 0.7625
O: 0.9260 0.1450 0.4826
O: 0.3199 0.8261 0.1045
O: 0.0355 0.3652 0.0545
O: 0.8550 0.0740 0.0174
Al: 0.7072 0.2928 0.2500
P: 0.7415 0.1534 0.4887
P: 0.6954 0.8311 0.7767
O: 0.1450 0.9260 0.5174
P: 0.0937 0.3665 0.1824
O: 0.0740 0.8550 0.9826
P: 0.1534 0.7415 0.5113
O: 0.6987 0.2784 0.4075
O: 0.9645 0.6348 0.5545
O: 0.5251 0.2326 0.7976
O: 0.3652 0.0355 0.9455
O: 0.6801 0.1739 0.6045


Which formula does entry 3 have? ScSbRu


Among the records above, which one has the lowest E? RbAl3P6O20